(1)
Material: MgTa3Pd
Method: DFT, PBE
State: relaxed

```
MgTa3Pd
1.0
4.8725 0.0000 0.0000
0.0000 4.8725 0.0000
0.0000 0.0000 4.8725
Mg Ta Pd
1 3 1
Direct
0.0000 0.0000 0.0000
0.0000 0.5000 0.5000
0.5000 0.0000 0.5000
0.5000 0.5000 0.0000
0.5000 0.5000 0.5000
```

Calculated total energy in eV/cell: -35.9
DFT formation energy in kJ/mol of atoms: 125.0
Offset from the most stable computed form in eV per formula unit: 0.00
Fermi-level density of states in states/eV/f.u.: 9.58
Calculated volume in Å³/atom: 23.14

(2)
Material: Mg2TaPd
Method: DFT, PBE
State: relaxed

```
Mg2TaPd
1.0
7.4890 0.0000 0.0000
0.0000 7.4890 0.0000
0.0000 0.0000 5.4560
Mg Ta Pd
8 4 4
Direct
0.2139 0.2500 0.1250
0.2500 0.7139 0.3750
0.2500 0.7861 0.8750
0.2861 0.2500 0.6250
0.7139 0.7500 0.6250
0.7500 0.2139 0.8750
0.7500 0.2861 0.3750
0.7861 0.7500 0.1250
0.0000 0.0000 0.5000
0.0000 0.5000 0.7500
0.5000 0.0000 0.2500
0.5000 0.5000 0.0000
0.0000 0.0000 0.0000
0.0000 0.5000 0.2500
0.5000 0.0000 0.7500
0.5000 0.5000 0.5000
```

Calculated total energy in eV/cell: -74.7
DFT formation energy in kJ/mol of atoms: 37.7
Fermi-level density of states in states/eV/f.u.: 3.18
Calculated volume in Å³/atom: 19.12

(3)
Material: Mg2TaPd
Method: DFT, PBE
State: relaxed

```
Mg2TaPd
1.0
6.5608 0.0000 0.0000
0.0000 6.5608 0.0000
0.0000 0.0000 6.5608
Mg Ta Pd
8 4 4
Direct
0.2500 0.2500 0.2500
0.2500 0.2500 0.7500
0.2500 0.7500 0.2500
0.2500 0.7500 0.7500
0.7500 0.2500 0.2500
0.7500 0.2500 0.7500
0.7500 0.7500 0.2500
0.7500 0.7500 0.7500
0.0000 0.0000 0.0000
0.0000 0.5000 0.5000
0.5000 0.0000 0.5000
0.5000 0.5000 0.0000
0.0000 0.0000 0.5000
0.0000 0.5000 0.0000
0.5000 0.0000 0.0000
0.5000 0.5000 0.5000
```

Calculated total energy in eV/cell: -76.7
DFT formation energy in kJ/mol of atoms: 25.5
Fermi-level density of states in states/eV/f.u.: 2.51
Calculated volume in Å³/atom: 17.65

(4)
Material: MgTaPd2
Method: DFT, PBE
State: relaxed

```
MgTaPd2
1.0
7.1364 0.0000 0.0000
0.0000 7.1364 0.0000
0.0000 0.0000 5.7391
Mg Ta Pd
4 4 8
Direct
0.0000 0.0000 0.0000
0.0000 0.5000 0.2500
0.5000 0.0000 0.7500
0.5000 0.5000 0.5000
0.0000 0.0000 0.5000
0.0000 0.5000 0.7500
0.5000 0.0000 0.2500
0.5000 0.5000 0.0000
0.2384 0.2500 0.6250
0.2500 0.7384 0.8750
0.2500 0.7616 0.3750
0.2616 0.2500 0.1250
0.7384 0.7500 0.1250
0.7500 0.2384 0.3750
0.7500 0.2616 0.8750
0.7616 0.7500 0.6250
```

Calculated total energy in eV/cell: -93.1
DFT formation energy in kJ/mol of atoms: 13.6
Fermi-level density of states in states/eV/f.u.: 7.12
Calculated volume in Å³/atom: 18.27

(5)
Material: MgTaPd14
Method: DFT, PBE
State: relaxed

```
MgTaPd14
1.0
5.6364 0.0000 0.0000
0.0000 5.6364 0.0000
0.0000 0.0000 7.8025
Mg Ta Pd
1 1 14
Direct
0.0000 0.0000 0.0000
0.5000 0.5000 0.0000
0.0000 0.0000 0.5000
0.0000 0.5000 0.0000
0.0000 0.5000 0.5000
0.2530 0.2530 0.2453
0.2530 0.2530 0.7547
0.2530 0.7470 0.2453
0.2530 0.7470 0.7547
0.5000 0.0000 0.0000
0.5000 0.0000 0.5000
0.5000 0.5000 0.5000
0.7470 0.2530 0.2453
0.7470 0.2530 0.7547
0.7470 0.7470 0.2453
0.7470 0.7470 0.7547
```

Calculated total energy in eV/cell: -90.5
DFT formation energy in kJ/mol of atoms: -26.3
Fermi-level density of states in states/eV/f.u.: 21.53
Calculated volume in Å³/atom: 15.49

(6)
Material: MgTaPd2
Method: DFT, PBE
State: relaxed

```
MgTaPd2
1.0
2.9119 0.0000 0.0000
0.0000 2.9119 0.0000
0.0000 0.0000 7.6273
Mg Ta Pd
1 1 2
Direct
0.0000 0.0000 0.0000
0.0000 0.0000 0.5000
0.5000 0.5000 0.2449
0.5000 0.5000 0.7551
```

Calculated total energy in eV/cell: -25.8
DFT formation energy in kJ/mol of atoms: -48.2
Fermi-level density of states in states/eV/f.u.: 0.72
Calculated volume in Å³/atom: 16.17

(7)
Material: MgTaPd5
Method: DFT, PBE
State: relaxed

```
MgTaPd5
1.0
3.9690 0.0000 0.0000
0.0000 3.9690 0.0000
0.0000 0.0000 7.5690
Mg Ta Pd
1 1 5
Direct
0.0000 0.0000 0.0000
0.5000 0.5000 0.5000
0.0000 0.5000 0.2739
0.0000 0.5000 0.7261
0.5000 0.0000 0.2739
0.5000 0.0000 0.7261
0.5000 0.5000 0.0000
```

Calculated total energy in eV/cell: -41.7
DFT formation energy in kJ/mol of atoms: -31.0
Fermi-level density of states in states/eV/f.u.: 3.26
Calculated volume in Å³/atom: 17.03

(8)
Material: Mg4TaPd5
Method: DFT, PBE
State: relaxed

```
Mg4TaPd5
1.0
2.9873 0.0000 0.0000
0.0000 2.9873 0.0000
0.0000 0.0000 18.0491
Mg Ta Pd
4 1 5
Direct
0.0000 0.0000 0.0984
0.0000 0.0000 0.2954
0.0000 0.0000 0.7046
0.0000 0.0000 0.9016
0.0000 0.0000 0.5000
0.5000 0.5000 0.0000
0.5000 0.5000 0.1968
0.5000 0.5000 0.3953
0.5000 0.5000 0.6047
0.5000 0.5000 0.8032
```

Calculated total energy in eV/cell: -50.5
DFT formation energy in kJ/mol of atoms: -60.6
Fermi-level density of states in states/eV/f.u.: 4.65
Calculated volume in Å³/atom: 16.11

(9)
Material: MgTaTe2Pd
Method: DFT, PBE
State: relaxed

```
MgTaTe2Pd
1.0
5.2841 0.0000 0.0000
0.0000 5.2841 0.0000
0.0000 0.0000 4.5500
Mg Ta Te Pd
1 1 2 1
Direct
0.0000 0.0000 0.0000
0.5000 0.5000 0.5000
0.0000 0.5000 0.0000
0.5000 0.0000 0.0000
0.0000 0.0000 0.5000
```

Calculated total energy in eV/cell: -20.3
Fermi-level density of states in states/eV/f.u.: 4.23
Calculated volume in Å³/atom: 25.41
Uncorrected formation energy in eV per atom: 0.9220

(10)
Material: Mg2TaTePd
Method: DFT, PBE
State: relaxed

```
Mg2TaTePd
1.0
4.8181 0.0000 0.0000
0.0000 4.8181 0.0000
0.0000 0.0000 5.2457
Mg Ta Te Pd
2 1 1 1
Direct
0.0000 0.5000 0.0000
0.5000 0.0000 0.0000
0.0000 0.0000 0.5000
0.5000 0.5000 0.5000
0.5000 0.5000 0.0000
```

Calculated total energy in eV/cell: -20.0
Fermi-level density of states in states/eV/f.u.: 5.39
Calculated volume in Å³/atom: 24.35
Uncorrected formation energy in eV per atom: 0.6848

(11)
Material: Mg2TaZnPd
Method: DFT, PBE
State: relaxed

```
Mg2TaZnPd
1.0
5.3358 0.0000 0.0000
0.0000 5.3358 0.0000
0.0000 0.0000 4.8432
Mg Ta Zn Pd
2 1 1 1
Direct
0.0000 0.5000 0.0000
0.5000 0.0000 0.0000
0.0000 0.0000 0.0000
0.0000 0.0000 0.5000
0.5000 0.5000 0.5000
```

Calculated total energy in eV/cell: -14.5
DFT formation energy in kJ/mol of atoms: 136.1
Fermi-level density of states in states/eV/f.u.: 4.90
Calculated volume in Å³/atom: 27.58

(12)
Material: MgTaZnPd2
Method: DFT, PBE
State: relaxed

```
MgTaZnPd2
1.0
4.8613 0.0000 0.0000
0.0000 4.8613 0.0000
0.0000 0.0000 4.9930
Mg Ta Zn Pd
1 1 1 2
Direct
0.0000 0.0000 0.0000
0.5000 0.5000 0.5000
0.5000 0.5000 0.0000
0.0000 0.5000 0.5000
0.5000 0.0000 0.5000
```

Calculated total energy in eV/cell: -21.4
DFT formation energy in kJ/mol of atoms: 70.8
Fermi-level density of states in states/eV/f.u.: 4.18
Calculated volume in Å³/atom: 23.60